Crystalline ScHgBi at its relaxed geometry. Source: the Open Quantum Materials Database, functional PBE.

Cell and atoms, written as POSCAR:
```
ScHgBi
1.0
0.0000 3.5098 3.5098
3.5098 0.0000 3.5098
3.5098 3.5098 0.0000
Sc Hg Bi
1 1 1
Direct
0.0000 0.0000 0.0000 Sc
0.7500 0.7500 0.7500 Hg
0.5000 0.5000 0.5000 Bi
```

- Final energy: -3.596 eV/atom
- Density: 8728 kg/m³
- Symmetry: F-43m, No. 216

Crystalline Nd2TmAl3Si2Pd at its relaxed geometry. Source: the Open Quantum Materials Database, functional PBE.

Cell and atoms, written as POSCAR:
```
Nd2TmAl3Si2Pd
1.0
4.3076 0.0000 0.0000
0.0000 6.0650 3.4988
0.0000 -6.0650 3.4988
Nd Tm Al Si Pd
2 1 3 2 1
Direct
0.0000 0.2085 0.7915 Nd
0.0000 0.7915 0.2085 Nd
0.0000 0.3744 0.3744 Tm
0.5000 0.0285 0.0285 Al
0.5000 0.5524 0.7853 Al
0.5000 0.7853 0.5524 Al
0.5000 0.1331 0.4529 Si
0.5000 0.4529 0.1331 Si
0.0000 0.7786 0.7786 Pd
```

- Final energy: -5.331 eV/atom
- Density: 6367 kg/m³
- Symmetry: Amm2, No. 38

Crystalline Pr2Tc at its relaxed geometry. Source: the Open Quantum Materials Database, functional PBE.

Cell and atoms, written as POSCAR:
```
Pr2Tc
1.0
0.0000 4.3366 4.3366
4.3366 0.0000 4.3366
4.3366 4.3366 0.0000
Pr Tc
4 2
Direct
0.0000 0.0000 0.0000 Pr
0.0000 0.0000 0.5000 Pr
0.0000 0.5000 0.0000 Pr
0.5000 0.0000 0.0000 Pr
0.3750 0.3750 0.3750 Tc
0.6250 0.6250 0.6250 Tc
```

- Final energy: -5.364 eV/atom
- Calculated formation energy: 1.273 eV/atom
- Density: 7733 kg/m³
- Symmetry: Fd-3m, No. 227

Crystalline Ac2Y2Re at its relaxed geometry. Source: the Open Quantum Materials Database, functional PBE.

Cell and atoms, written as POSCAR:
```
Ac2Y2Re
1.0
4.9272 0.0000 0.0000
-2.4636 4.2671 0.0000
0.0000 0.0000 17.2623
Ac Y Re
4 4 2
Direct
0.3333 0.6667 0.0639 Ac
0.3333 0.6667 0.4361 Ac
0.6667 0.3333 0.5639 Ac
0.6667 0.3333 0.9361 Ac
0.3333 0.6667 0.6527 Y
0.3333 0.6667 0.8473 Y
0.6667 0.3333 0.1527 Y
0.6667 0.3333 0.3473 Y
0.0000 0.0000 0.0000 Re
0.0000 0.0000 0.5000 Re
```

- Final energy: -5.758 eV/atom
- Calculated formation energy: 0.955 eV/atom
- Density: 7485 kg/m³
- Symmetry: P6_3/mmc, No. 194

Crystalline HfAlPO at its relaxed geometry. Source: the Open Quantum Materials Database, functional PBE.

Cell and atoms, written as POSCAR:
```
HfAlPO
1.0
3.6827 0.0000 0.0000
0.0000 6.4955 0.0000
0.0000 0.0000 5.2381
Hf Al P O
2 2 2 2
Direct
0.0000 0.1407 0.0000 Hf
0.0000 0.8593 0.5000 Hf
0.5000 0.4273 0.6621 Al
0.5000 0.5727 0.1621 Al
0.0000 0.2543 0.4899 P
0.0000 0.7457 0.9899 P
0.5000 0.3227 0.9917 O
0.5000 0.6773 0.4917 O
```

- Final energy: -7.373 eV/atom
- Density: 6691 kg/m³
- Symmetry: Pmc2_1, No. 26

Crystalline TaFeHgAs at its relaxed geometry. Source: the Open Quantum Materials Database, functional PBE.

Cell and atoms, written as POSCAR:
```
TaFeHgAs
1.0
0.0000 3.2143 3.2143
3.2143 0.0000 3.2143
3.2143 3.2143 0.0000
Ta Fe Hg As
1 1 1 1
Direct
0.0000 0.0000 0.0000 Ta
0.5000 0.5000 0.5000 Fe
0.7500 0.7500 0.7500 Hg
0.2500 0.2500 0.2500 As
```

- Final energy: -5.828 eV/atom
- Density: 12808 kg/m³
- Symmetry: F-43m, No. 216